1.
VASP calculation (GGA-PBE) on a geometry-optimized Li2Cu8Si structure.

Properties
Polymorph energy (0 for the lowest one): 0.000 eV/atom
Energy relative to the elements, uncorrected: -54 meV per atom
SG: C2/m, No. 12
Uncorrected energy: -3.87 eV/atom

a = 6.6058 Å, b = 6.6058 Å, c = 5.8365 Å
α = 107.46°, β = 107.46°, γ = 33.57°
Atoms (fractional coordinates):
Li1 0.2251 0.2251 0.1389
Li2 0.7749 0.7749 0.8611
Cu1 0.0452 0.0452 0.2203
Cu2 0.1321 0.1321 0.6679
Cu3 0.3204 0.3204 0.5928
Cu4 0.4130 0.4130 0.0608
Cu5 0.5870 0.5870 0.9392
Cu6 0.6796 0.6796 0.4072
Cu7 0.8679 0.8679 0.3321
Cu8 0.9548 0.9548 0.7797
Si1 0.5000 0.5000 0.5000

2.
VASP calculation (GGA-PBE) on a geometry-optimized Fe2TcAs structure.

Properties
Polymorph energy (0 for the lowest one): 0.167 eV/atom
SG: R-3m, No. 166
Uncorrected energy: -7.78 eV/atom

a = 8.1327 Å, b = 8.1327 Å, c = 8.1327 Å
α = 19.41°, β = 19.41°, γ = 19.41°
Atoms (fractional coordinates):
Fe1 0.2470 0.2470 0.2470
Fe2 0.7530 0.7530 0.7530
Tc1 0.0000 0.0000 0.0000
As1 0.5000 0.5000 0.5000

3.
VASP calculation (GGA-PBE) on a geometry-optimized Sm2AlFe2Ni5 structure.

Properties
SG: P4/mbm, No. 127
Uncorrected energy: -6.04 eV/atom

a = 9.0835 Å, b = 9.0835 Å, c = 3.6713 Å
α = 90.00°, β = 90.00°, γ = 90.00°
Atoms (fractional coordinates):
Sm1 0.1817 0.3183 0.0000
Sm2 0.3183 0.8183 0.0000
Sm3 0.6817 0.1817 0.0000
Sm4 0.8183 0.6817 0.0000
Al1 0.0000 0.0000 0.0000
Al2 0.5000 0.5000 0.0000
Fe1 0.1171 0.6171 0.0000
Fe2 0.3829 0.1171 0.0000
Fe3 0.6171 0.8829 0.0000
Fe4 0.8829 0.3829 0.0000
Ni1 0.0000 0.5000 0.5000
Ni2 0.0572 0.7924 0.5000
Ni3 0.2076 0.0572 0.5000
Ni4 0.2924 0.5572 0.5000
Ni5 0.4428 0.2924 0.5000
Ni6 0.5000 0.0000 0.5000
Ni7 0.5572 0.7076 0.5000
Ni8 0.7076 0.4428 0.5000
Ni9 0.7924 0.9428 0.5000
Ni10 0.9428 0.2076 0.5000

4.
VASP calculation (GGA-PBE) on a geometry-optimized TaRe structure.

Properties
SG: P6_3/mmc, No. 194
Uncorrected energy: -11.58 eV/atom

a = 4.5661 Å, b = 4.5661 Å, c = 7.7614 Å
α = 90.00°, β = 90.00°, γ = 120.00°
Atoms (fractional coordinates):
Ta1 0.0000 0.0000 0.2500
Ta2 0.0000 0.0000 0.7500
Ta3 0.3333 0.6667 0.2500
Ta4 0.6667 0.3333 0.7500
Re1 0.3333 0.6667 0.5742
Re2 0.3333 0.6667 0.9258
Re3 0.6667 0.3333 0.0742
Re4 0.6667 0.3333 0.4258

Total magnetization / μB/cell: 0.00, 2.79, 11.64, 0.00